Record 1
Crystalline Sm3Ho4In at its relaxed geometry, computed with GGA-PBE.

Output
The density of states at the Fermi level comes out at 1.3328 states/eV/atom. The relative energy among the computed polymorphs is 8 meV/atom. The energy comes out at -72.08 eV/cell. The formation energy is -80 kJ/mol of formula units. The space group is Pmn2_1, No. 31.

Structure (POSCAR):
```
Sm3Ho4In
1.0
-0.366 -5.945 -1.745
2.890 1.655 -6.245
10.216 -1.871 4.231
Ho Sm In
8 6 2
Direct
0.361 0.128 0.000
0.366 0.629 0.000
0.861 0.872 0.500
0.013 0.127 0.761
0.513 0.873 0.261
0.013 0.127 0.239
0.866 0.371 0.500
0.513 0.873 0.739
0.536 0.384 0.745
0.834 0.873 0.000
0.536 0.384 0.255
0.036 0.616 0.755
0.334 0.127 0.500
0.036 0.616 0.245
0.856 0.372 0.000
0.356 0.628 0.500
```

Record 2
Crystalline SmHo3In2 at its relaxed geometry, computed with GGA-PBE.

Output
The density of states at the Fermi level comes out at 1.0736 states/eV/atom. The relative energy among the computed polymorphs is 33 meV/atom. The energy comes out at -50.81 eV/cell. The formation energy is -142 kJ/mol of formula units. The space group is C2/m, No. 12.

Structure (POSCAR):
```
SmHo3In2
1.0
5.352 0.000 0.000
-2.676 8.714 -0.887
0.000 -4.688 7.955
Ho In Sm
6 4 2
Direct
0.941 0.882 0.597
0.616 0.232 0.687
0.384 0.768 0.313
0.307 0.615 0.607
0.059 0.118 0.403
0.693 0.385 0.393
0.521 0.043 0.873
0.773 0.546 0.139
0.479 0.957 0.127
0.227 0.454 0.861
0.131 0.262 0.093
0.869 0.738 0.907
```

Record 3
Crystalline Sm6Ho2In at its relaxed geometry, computed with GGA-PBE.

Output
The density of states at the Fermi level comes out at 1.3684 states/eV/atom. The relative energy among the computed polymorphs is 0 meV/atom. The energy comes out at -82.17 eV/cell. The formation energy is -85 kJ/mol of formula units. The space group is C2/c, No. 15.

Structure (POSCAR):
```
Sm6Ho2In
1.0
-5.521 2.955 -0.071
-0.711 -7.752 8.989
3.493 0.144 10.551
Sm Ho In
12 4 2
Direct
0.537 0.971 0.809
0.003 0.085 0.590
0.463 0.029 0.191
0.243 0.471 0.309
0.771 0.365 0.529
0.877 0.136 0.971
0.757 0.529 0.691
0.123 0.864 0.029
0.997 0.915 0.410
0.229 0.635 0.471
0.671 0.585 0.089
0.329 0.415 0.911
0.556 0.805 0.642
0.891 0.305 0.142
0.109 0.695 0.858
0.444 0.195 0.358
0.670 0.750 0.250
0.330 0.250 0.750
```

Record 4
Crystalline Sm4Ho3In4 at its relaxed geometry, computed with GGA-PBE.

Output
The density of states at the Fermi level comes out at 0.9607 states/eV/atom. The energy comes out at -46.91 eV/cell. The formation energy is -323 kJ/mol of formula units. The space group is Immm, No. 71.

Structure (POSCAR):
```
Sm4Ho3In4
1.0
-1.846 2.190 2.214
-7.317 -5.929 -0.237
8.139 -2.825 6.624
In Sm Ho
4 4 3
Direct
0.500 0.781 0.000
0.274 0.774 0.548
0.726 0.226 0.452
0.500 0.219 0.000
0.338 0.517 0.677
0.662 0.840 0.323
0.662 0.483 0.323
0.338 0.160 0.677
0.094 0.094 0.189
0.000 0.500 0.000
0.906 0.906 0.811
```

Record 5
Crystalline Sm3Ho2In2 at its relaxed geometry, computed with GGA-PBE.

Output
The density of states at the Fermi level comes out at 1.1479 states/eV/atom. The relative energy among the computed polymorphs is 0 meV/atom. The energy comes out at -29.92 eV/cell. The formation energy is -109 kJ/mol of formula units. The space group is Cmmm, No. 65.

Structure (POSCAR):
```
Sm3Ho2In2
1.0
4.902 0.000 0.650
0.000 3.493 0.000
0.878 0.000 12.178
Ho Sm In
2 3 2
Direct
0.287 0.500 0.426
0.713 0.500 0.574
0.142 0.000 0.716
0.858 0.000 0.284
0.000 0.000 0.000
0.571 0.500 0.857
0.429 0.500 0.143
```

Record 6
Crystalline Tb6Sm2Ho3In at its relaxed geometry, computed with GGA-PBE.

Output
The density of states at the Fermi level comes out at 1.2319 states/eV/atom. The energy comes out at -54.31 eV/cell. The formation energy is -60 kJ/mol of formula units. The space group is C2/m, No. 12.

Structure (POSCAR):
```
Tb6Sm2Ho3In
1.0
6.102 -0.003 0.004
-3.052 5.284 0.004
-1.027 -1.778 11.521
Sm Tb Ho In
2 6 3 1
Direct
0.666 0.334 0.000
0.334 0.666 0.000
0.411 0.083 0.250
0.244 0.244 0.749
0.083 0.411 0.250
0.917 0.589 0.750
0.589 0.917 0.750
0.756 0.756 0.251
0.833 0.167 0.500
0.500 0.500 0.500
0.167 0.833 0.500
0.000 0.000 0.000
```